[1]
## TiNbCd2B (PBE-GGA)

Data for a relaxed structure of TiNbCd2B.

```
5
Lattice="-0.660 -4.797 2.052 4.191 -1.161 -1.366 1.960 1.689 4.578" Properties=species:S:1:pos:R:3 pbc="T T T"
Nb 2.096 -0.580 -0.683
Ti 0.000 0.000 0.000
B 2.746 -2.134 2.632
Cd 0.980 0.845 2.289
Cd -0.330 -2.398 1.026
```

Values from the calculation:
Its magnetic moment is 0.00 Bohr magnetons per cell. The density of states at the Fermi level comes out at 3.8 states/eV per cell. The total DFT energy (no corrections) comes out at -3.50 eV/atom. Its formation energy is 1.790 eV/atom.



[2]
## AcPrDy3Y (PBE-GGA)

Data for a relaxed structure of AcPrDy3Y.

```
12
Lattice="5.751 0.000 0.000 -2.875 9.652 1.533 0.000 -1.347 7.450" Properties=species:S:1:pos:R:3 pbc="T T T"
Ac 0.000 5.596 8.367
Ac 2.875 2.708 0.617
Pr 0.000 0.537 2.251
Pr 2.875 7.767 6.732
Dy 2.875 6.057 3.123
Dy 2.875 4.420 6.484
Dy 0.000 8.814 3.633
Dy 0.000 3.884 2.500
Dy 2.875 -0.510 5.350
Dy 0.000 2.247 5.861
Y 2.875 2.359 3.867
Y 0.000 5.946 5.116
```

Values from the calculation:
Its magnetic moment is 0.00 Bohr magnetons per cell. The density of states at the Fermi level comes out at 20.0 states/eV per cell. The total DFT energy (no corrections) comes out at -4.64 eV/atom. Its formation energy is 0.224 eV/atom.



[3]
## ScMoW2 (PBE-GGA)

Data for a relaxed structure of ScMoW2.

```
4
Lattice="3.163 0.000 0.000 0.000 4.539 0.000 0.000 0.000 4.676" Properties=species:S:1:pos:R:3 pbc="T T T"
Mo 1.582 0.000 2.338
Sc 0.000 2.270 2.338
W 0.000 0.000 0.000
W 1.582 2.270 0.000
```

Values from the calculation:
The value obtained for the relative energy among the computed polymorphs is 114 meV per atom. Its magnetic moment is 0.00 Bohr magnetons per cell. The density of states at the Fermi level comes out at 5.3 states/eV per cell. The total DFT energy (no corrections) comes out at -10.56 eV/atom. Its formation energy is 0.203 eV/atom.



[4]
## SrInRu3 (PBE-GGA)

Data for a relaxed structure of SrInRu3.

```
5
Lattice="4.995 0.000 0.000 0.000 4.995 0.000 0.000 0.000 4.995" Properties=species:S:1:pos:R:3 pbc="T T T"
Ru 0.000 2.497 0.000
Ru 0.000 0.000 2.497
Ru 2.497 0.000 0.000
Sr 2.497 2.497 2.497
In 0.000 0.000 0.000
```

Values from the calculation:
The value obtained for the relative energy among the computed polymorphs is 0 meV per atom. Its magnetic moment is 4.72 Bohr magnetons per cell. The density of states at the Fermi level comes out at 7.0 states/eV per cell. The total DFT energy (no corrections) comes out at -5.09 eV/atom. Its formation energy is 1.362 eV/atom.



[5]
## FeSn (PBE-GGA)

Data for a relaxed structure of FeSn.

```
2
Lattice="-1.777 2.444 0.810 -1.765 -0.440 -2.545 -1.875 -1.903 1.629" Properties=species:S:1:pos:R:3 pbc="T T T"
Sn 0.000 0.000 0.000
Fe -2.708 0.051 -0.053
```

Values from the calculation:
Its magnetic moment is 0.10 Bohr magnetons per cell. The density of states at the Fermi level comes out at 1.1 states/eV per cell. The total DFT energy (no corrections) comes out at -5.92 eV/atom. Its formation energy is 0.309 eV/atom.



[6]
## MgPa5Ir5 (PBE-GGA)

Data for a relaxed structure of MgPa5Ir5.

```
11
Lattice="-3.040 4.553 -1.108 -2.765 -5.795 -2.146 -1.733 0.732 7.762" Properties=species:S:1:pos:R:3 pbc="T T T"
Mg 0.000 0.000 0.000
Pa -3.561 1.309 1.073
Pa -4.393 1.721 5.045
Pa -0.866 0.366 3.881
Pa -3.145 -2.230 -0.537
Pa -3.976 -1.819 3.435
Ir -4.728 0.014 -1.050
Ir -5.519 0.417 2.778
Ir -1.520 2.277 -0.554
Ir -2.018 -0.927 1.730
Ir -2.810 -0.524 5.558
```

Values from the calculation:
Its magnetic moment is 0.00 Bohr magnetons per cell. The density of states at the Fermi level comes out at 12.9 states/eV per cell. The total DFT energy (no corrections) comes out at -9.03 eV/atom. Its formation energy is -0.536 eV/atom.



[7]
## KSc2Cd (PBE-GGA)

Data for a relaxed structure of KSc2Cd.

```
4
Lattice="6.450 -0.013 0.000 -3.207 5.596 0.000 0.000 0.000 3.135" Properties=species:S:1:pos:R:3 pbc="T T T"
Cd 3.225 -0.007 1.567
K -1.603 2.798 1.567
Sc 0.000 0.000 0.000
Sc 1.622 2.792 0.000
```

Values from the calculation:
Its magnetic moment is 1.15 Bohr magnetons per cell. The density of states at the Fermi level comes out at 5.6 states/eV per cell. The total DFT energy (no corrections) comes out at -3.18 eV/atom. Its formation energy is 0.484 eV/atom.



[8]
## ErThPtSe (PBE-GGA)

Data for a relaxed structure of ErThPtSe.

```
4
Lattice="-1.956 0.927 3.331 -0.062 -3.732 -1.370 7.455 -0.959 2.274" Properties=species:S:1:pos:R:3 pbc="T T T"
Er 0.844 -0.888 3.557
Th 5.765 -2.581 2.180
Pt 3.672 -0.650 2.783
Se 0.603 -3.606 -0.566
```

Values from the calculation:
The calculation puts the raw formation energy at -1.325 eV per atom. Its magnetic moment is 0.00 Bohr magnetons per cell. The density of states at the Fermi level comes out at 3.0 states/eV per cell. The total DFT energy (no corrections) comes out at -6.70 eV/atom.